# Li2Fe2Si2O7

A relaxed Li2Fe2Si2O7 crystal (GGA-PBEsol, the Alexandria database).

Properties
* VASP energy: -192.1 eV for the cell shown
* energy above the lowest structure with this stoichiometry: 0.000 eV/atom
* calculated volume: 10.4 Å³/atom
* space-group type: Ama2, No. 40
* formation energy from raw total energies: -1.9973 eV/atom

a = 13.035 Å, b = 4.850 Å, c = 4.850 Å
α = 118.23°, β = 90.00°, γ = 90.00°
Element x y z (fractional)
Li: 0.083 0.197 0.803
Li: 0.417 0.197 0.803
Li: 0.583 0.803 0.197
Li: 0.917 0.803 0.197
Fe: 0.000 0.493 0.493
Fe: 0.250 0.479 0.472
Fe: 0.500 0.493 0.493
Fe: 0.750 0.472 0.479
Si: 0.137 0.852 0.153
Si: 0.363 0.852 0.153
Si: 0.637 0.153 0.852
Si: 0.863 0.153 0.852
O: 0.053 0.824 0.383
O: 0.130 0.201 0.180
O: 0.136 0.576 0.790
O: 0.250 0.820 0.307
O: 0.364 0.576 0.790
O: 0.370 0.201 0.180
O: 0.447 0.824 0.383
O: 0.553 0.383 0.824
O: 0.630 0.180 0.201
O: 0.636 0.790 0.576
O: 0.750 0.307 0.820
O: 0.864 0.790 0.576
O: 0.870 0.180 0.201
O: 0.947 0.383 0.824